A plane-wave DFT calculation with PBE-GGA was carried out for CuHgBr after structural relaxation.

Space-group type   No. 156
Spin magnetization   0.00 μB/f.u.
Total energy   -6.404 eV/cell
Polymorph energy (0 for the lowest one)   0.0 meV/atom
E_form (uncorrected)   -111 meV/atom

Geometry as POSCAR:
```
CuHgBr
1.0
-3.460 0.677 1.463
0.415 -2.528 -2.830
0.839 -4.321 3.984
Hg Cu Br
1 1 1
Direct
0.333 0.667 0.596
0.667 0.333 0.304
0.000 0.000 0.100
```